No. 1
A relaxed structure of TiAgBi2W. Source: the Alexandria database, functional PBE-GGA.

It has space group P4/mmm (No. 123), with a = 5.383 Å, b = 5.383 Å, c = 4.863 Å, α = 90.00°, β = 90.00° and γ = 90.00°. The asymmetric unit holds Ti at (0.000, 0.000, 0.000), Ag at (0.500, 0.500, 0.000), Bi at (0.000, 0.500, 0.500) and W at (0.000, 0.000, 0.500).

The total energy is -5.36 eV per atom. Its crystal system is tetragonal. The calculation puts the calculated density at 8.927 g/cm3. The total magnetization comes out at 0.000 μB/atom.

No. 2
A relaxed structure of TlAgBi. Source: the Alexandria database, functional PBE-GGA.

It has space group I4mm (No. 107), with a = 3.436 Å, b = 3.436 Å, c = 13.737 Å, α = 90.00°, β = 90.00° and γ = 90.00°. The asymmetric unit holds Tl at (0.000, 0.000, 0.000), Ag at (0.000, 0.000, 0.654) and Bi at (0.000, 0.000, 0.295).

The total energy is -2.95 eV per atom. Its crystal system is tetragonal. The calculation puts the calculated density at 10.673 g/cm3. The energy above the most stable polymorph in this dataset comes out at 0.0050 eV per atom. The total magnetization comes out at 0.000 μB/atom.

No. 3
A relaxed structure of Tl3AgBi2. Source: the Alexandria database, functional PBE-GGA.

It has space group Cmmm (No. 65), with a = 5.647 Å, b = 17.669 Å, c = 3.592 Å, α = 90.00°, β = 90.00° and γ = 90.00°. The asymmetric unit holds Tl at (0.000, 0.000, 0.000), Tl at (0.000, 0.184, 0.500), Ag at (0.000, 0.500, 0.500) and Bi at (0.000, 0.364, 0.000).

The total energy is -2.93 eV per atom. Its crystal system is orthorhombic. The calculation puts the calculated density at 10.553 g/cm3. The total magnetization comes out at 0.000 μB/atom.

No. 4
A relaxed structure of Tl12AgBi3. Source: the Alexandria database, functional PBE-GGA.

It has space group P4/mmm (No. 123), with a = 4.997 Å, b = 4.997 Å, c = 19.543 Å, α = 90.00°, β = 90.00° and γ = 90.00°. The asymmetric unit holds Tl at (0.000, 0.000, 0.000), Tl at (0.000, 0.000, 0.244), Tl at (0.000, 0.000, 0.500), Tl at (0.000, 0.500, 0.118), Tl at (0.000, 0.500, 0.372), Ag at (0.500, 0.500, 0.000), Bi at (0.500, 0.500, 0.242) and Bi at (0.500, 0.500, 0.500).

The total energy is -2.67 eV per atom. Its crystal system is tetragonal. The calculation puts the calculated density at 10.844 g/cm3. The total magnetization comes out at 0.000 μB/atom.

No. 5
A relaxed structure of Tl6AgBi2. Source: the Alexandria database, functional PBE-GGA.

It has space group C2/m (No. 12), with a = 13.808 Å, b = 3.550 Å, c = 11.563 Å, α = 90.00°, β = 106.47° and γ = 90.00°. The asymmetric unit holds Tl at (0.018, 0.000, 0.346), Tl at (0.152, 0.500, 0.886), Tl at (0.185, 0.500, 0.586), Ag at (0.000, 0.000, 0.000) and Bi at (0.145, 0.500, 0.187).

The total energy is -2.74 eV per atom. Its crystal system is monoclinic. The calculation puts the calculated density at 10.707 g/cm3. The total magnetization comes out at 0.000 μB/atom.

No. 6
A relaxed structure of Tl4AgBi3. Source: the Alexandria database, functional PBE-GGA.

It has space group C2/m (No. 12), with a = 28.969 Å, b = 4.801 Å, c = 3.588 Å, α = 90.00°, β = 96.43° and γ = 90.00°. The asymmetric unit holds Tl at (0.094, 0.000, 0.094), Tl at (0.217, 0.000, 0.218), Ag at (0.000, 0.000, 0.500), Bi at (0.000, 0.500, 0.000) and Bi at (0.159, 0.500, 0.661).

The total energy is -2.92 eV per atom. Its crystal system is monoclinic. The calculation puts the calculated density at 10.396 g/cm3. The total magnetization comes out at 0.000 μB/atom.